A plane-wave DFT calculation with GGA-PBE was carried out for an optimized crystal structure of Tm4SiPS2.

Raw formation energy   -1.61 eV per atom
Energy   -6.23 eV per atom
Fermi-level density of states   0.158 states/eV/atom
Total magnetic moment   0.0 μB per formula unit

Cell lengths 3.9415, 6.8192, 6.8342 Å; angles 70.55, 90.00, 90.00 degrees
Fractional positions:
Tm (0.0000, 0.7416, 0.7528)
Tm (0.0000, 0.2584, 0.2472)
Tm (0.5000, 0.7442, 0.2514)
Tm (0.5000, 0.2558, 0.7486)
Si (0.0000, 0.5000, 0.5000)
P (0.5000, 0.5000, 0.0000)
S (0.0000, 0.0000, 0.0000)
S (0.5000, 0.0000, 0.5000)